DFT (PBE) results for a relaxed Zr5W crystal.

Lattice parameters (Å, degrees): 5.012 15.485 3.388 90.00 90.00 90.00
Space group Cmmm (No. 65)
Unique sites:
Zr  0.000  0.000  0.000 x2
Zr  0.000  0.179  0.500 x4
Zr  0.000  0.358  0.000 x4
W  0.000  0.500  0.500 x2

Properties
The value obtained for the polymorph energy (0 for the lowest one) is 0.012 eV/atom. As for the spin magnetization: 0.00 μB per formula unit. The crystal system is orthorhombic. The calculation puts the density of states at the Fermi level at 1.390 states/eV per atom. The formation energy comes out at 0.50 eV/f.u.


DFT (PBE) results for a relaxed Er2CdFeC crystal.

Lattice parameters (Å, degrees): 4.977 4.977 3.713 90.00 90.00 90.00
Space group P4/mmm (No. 123)
Unique sites:
Er  0.000  0.500  0.000 x2
Cd  0.000  0.000  0.500 x1
Fe  0.500  0.500  0.500 x1
C  0.500  0.500  0.000 x1

Properties
As for the spin magnetization: 0.04 μB per formula unit. The crystal system is tetragonal. The calculation puts the density of states at the Fermi level at 0.496 states/eV per atom. The formation energy comes out at -1.64 eV/f.u.


DFT (PBE) results for a relaxed Li2CoRu crystal.

Lattice parameters (Å, degrees): 6.618 6.618 4.797 90.00 90.00 90.00
Space group I-42d (No. 122)
Unique sites:
Li  0.239  0.750  0.125 x8
Co  0.000  0.000  0.000 x4
Ru  0.000  0.000  0.500 x4

Properties
The value obtained for the polymorph energy (0 for the lowest one) is 0.516 eV/atom. As for the spin magnetization: 2.80 μB per formula unit. The crystal system is tetragonal. The calculation puts the density of states at the Fermi level at 1.001 states/eV per atom. The formation energy comes out at 2.56 eV/f.u.


DFT (PBE) results for a relaxed HoAlGa2O6 crystal.

Lattice parameters (Å, degrees): 5.1792 5.1792 13.9052 90.00 90.00 120.00
Space group R3 (No. 146, hexagonal axes)
Unique sites:
Ho  0.0000  0.0000  0.0000 x3
Al  0.0000  0.0000  0.5202 x3
Ga  0.0000  0.0000  0.2175 x3
Ga  0.0000  0.0000  0.7287 x3
O  0.0049  0.3243  0.1216 x9
O  0.0747  0.7101  0.2794 x9

Properties
The value obtained for the final energy is -6.908 eV/atom. As for the spin magnetization: 0.00 μB per formula unit. The crystal system is trigonal. The calculation puts the density of states at the Fermi level at 0.000 states/eV per atom.


DFT (PBE) results for a relaxed Y4SbAu crystal.

Lattice parameters (Å, degrees): 8.789 8.789 8.789 90.00 90.00 90.00
Space group F-43m (No. 216)
Unique sites:
Y  0.125  0.125  0.125 x16
Sb  0.000  0.000  0.500 x4
Au  0.250  0.250  0.750 x4

Properties
The value obtained for the polymorph energy (0 for the lowest one) is 0.852 eV/atom. As for the spin magnetization: 0.00 μB per formula unit. The crystal system is cubic. The calculation puts the density of states at the Fermi level at 0.988 states/eV per atom.


DFT (PBE) results for a relaxed In3W crystal.

Lattice parameters (Å, degrees): 3.738 3.738 5.992 90.00 90.00 90.00
Space group P4/mmm (No. 123)
Unique sites:
In  0.000  0.000  0.000 x1
In  0.500  0.500  0.265 x2
W  0.000  0.000  0.500 x1

Properties
The value obtained for the polymorph energy (0 for the lowest one) is 0.068 eV/atom. As for the spin magnetization: 0.00 μB per formula unit. The crystal system is tetragonal. The calculation puts the density of states at the Fermi level at 0.531 states/eV per atom. The formation energy comes out at 2.16 eV/f.u.


DFT (PBE) results for a relaxed Pt3RhI crystal.

Lattice parameters (Å, degrees): 4.904 4.904 4.904 90.00 90.00 90.00
Space group Pm-3m (No. 221)
Unique sites:
Pt  0.000  0.000  0.500 x3
Rh  0.500  0.500  0.500 x1
I  0.000  0.000  0.000 x1

Properties
The value obtained for the polymorph energy (0 for the lowest one) is 0.229 eV/atom. As for the spin magnetization: 1.60 μB per formula unit. The crystal system is cubic. The calculation puts the density of states at the Fermi level at 1.479 states/eV per atom.


DFT (PBE) results for a relaxed Pm2ErMn crystal.

Lattice parameters (Å, degrees): 3.4233 3.4233 34.8425 90.00 90.00 120.00
Space group R-3m (No. 166, hexagonal axes)
Unique sites:
Pm  0.0000  0.0000  0.0822 x6
Er  0.0000  0.0000  0.5000 x3
Mn  0.0000  0.0000  0.0000 x3

Properties
The value obtained for the polymorph energy (0 for the lowest one) is 0.360 eV/atom. As for the spin magnetization: 3.32 μB per formula unit. The crystal system is trigonal. The calculation puts the density of states at the Fermi level at 1.329 states/eV per atom. The formation energy comes out at 2.12 eV/f.u.


DFT (PBE) results for a relaxed CoAgP2S crystal.

Lattice parameters (Å, degrees): 4.193 4.193 5.130 90.00 90.00 90.00
Space group P4/mmm (No. 123)
Unique sites:
Co  0.000  0.000  0.000 x1
Ag  0.500  0.500  0.500 x1
P  0.000  0.500  0.000 x2
S  0.000  0.000  0.500 x1

Properties
The value obtained for the polymorph energy (0 for the lowest one) is 0.000 eV/atom. As for the spin magnetization: 0.00 μB per formula unit. The crystal system is tetragonal. The calculation puts the density of states at the Fermi level at 0.614 states/eV per atom.


DFT (PBE) results for a relaxed Sr2FeBr crystal.

Lattice parameters (Å, degrees): 4.445 4.579 6.367 90.00 90.00 90.00
Space group Pmmm (No. 47)
Unique sites:
Sr  0.000  0.000  0.000 x1
Sr  0.500  0.500  0.500 x1
Fe  0.000  0.000  0.500 x1
Br  0.500  0.500  0.000 x1

Properties
The value obtained for the polymorph energy (0 for the lowest one) is 0.081 eV/atom. As for the spin magnetization: 1.77 μB per formula unit. The crystal system is orthorhombic. The calculation puts the density of states at the Fermi level at 1.380 states/eV per atom.


DFT (PBE) results for a relaxed Tb5Ho2Sc4 crystal.

Lattice parameters (Å, degrees): 11.747 6.646 10.041 90.00 123.83 90.00
Space group C2/m (No. 12)
Unique sites:
Tb  0.000  0.000  0.000 x2
Tb  0.159  0.270  0.666 x8
Ho  0.083  0.500  0.279 x4
Sc  0.092  0.000  0.365 x4
Sc  0.231  0.500  0.022 x4

Properties
As for the spin magnetization: 0.00 μB per formula unit. The crystal system is monoclinic. The calculation puts the density of states at the Fermi level at 1.509 states/eV per atom. The formation energy comes out at 2.11 eV/f.u.


DFT (PBE) results for a relaxed NaCd2Cl2 crystal.

Lattice parameters (Å, degrees): 5.615 5.615 9.430 90.00 90.00 90.00
Space group I4/mmm (No. 139)
Unique sites:
Na  0.000  0.000  0.000 x2
Cd  0.000  0.000  0.354 x4
Cl  0.000  0.500  0.250 x4

Properties
The value obtained for the final energy is -1.986 eV/atom. As for the spin magnetization: 0.00 μB per formula unit. The crystal system is tetragonal. The calculation puts the density of states at the Fermi level at 0.335 states/eV per atom.


DFT (PBE) results for a relaxed CaTaV crystal.

Lattice parameters (Å, degrees): 3.457 3.457 11.496 90.00 90.00 90.00
Space group P4/nmm (No. 129, origin choice 2)
Unique sites:
Ca  0.250  0.250  0.138 x2
Ta  0.250  0.250  0.428 x2
V  0.250  0.250  0.671 x2

Properties
The value obtained for the polymorph energy (0 for the lowest one) is 0.000 eV/atom. As for the spin magnetization: 1.30 μB per formula unit. The crystal system is tetragonal. The calculation puts the density of states at the Fermi level at 1.219 states/eV per atom. The formation energy comes out at 0.90 eV/f.u.


DFT (PBE) results for a relaxed LiZnP2Se6 crystal.

Lattice parameters (Å, degrees): 13.647 11.973 7.451 90.00 119.02 90.00
Space group C2/c (No. 15)
Unique sites:
Li  0.000  0.226  0.250 x4
Zn  0.000  0.183  0.750 x4
P  0.213  0.409  0.755 x8
Se  0.100  0.078  0.096 x8
Se  0.137  0.499  0.935 x8
Se  0.152  0.232  0.669 x8

Properties
The value obtained for the final energy is -3.733 eV/atom. As for the spin magnetization: 0.00 μB per formula unit. The crystal system is monoclinic. The calculation puts the density of states at the Fermi level at 0.117 states/eV per atom.


DFT (PBE) results for a relaxed Cd6Hg4F19 crystal.

Lattice parameters (Å, degrees): 9.908 9.908 9.908 90.00 90.00 90.00
Space group I23 (No. 197)
Unique sites:
Cd  0.000  0.328  0.500 x12
Hg  0.141  0.141  0.859 x8
F  0.000  0.000  0.000 x2
F  0.000  0.000  0.344 x12
F  0.054  0.307  0.719 x24

Properties
The value obtained for the final energy is -3.253 eV/atom. As for the spin magnetization: 0.00 μB per formula unit. The crystal system is cubic. The calculation puts the density of states at the Fermi level at 0.032 states/eV per atom.


DFT (PBE) results for a relaxed RbLaP2Au crystal.

Lattice parameters (Å, degrees): 5.536 5.536 5.965 90.00 90.00 90.00
Space group P4/mmm (No. 123)
Unique sites:
Rb  0.000  0.000  0.000 x1
La  0.500  0.500  0.500 x1
P  0.000  0.500  0.500 x2
Au  0.500  0.500  0.000 x1

Properties
The value obtained for the polymorph energy (0 for the lowest one) is 0.000 eV/atom. As for the spin magnetization: 0.00 μB per formula unit. The crystal system is tetragonal. The calculation puts the density of states at the Fermi level at 0.981 states/eV per atom. The formation energy comes out at 0.24 eV/f.u.


DFT (PBE) results for a relaxed FeNiTe2 crystal.

Lattice parameters (Å, degrees): 3.395 3.395 7.267 90.00 90.00 90.00
Space group P4mm (No. 99)
Unique sites:
Fe  0.000  0.000  0.000 x1
Ni  0.500  0.500  0.190 x1
Te  0.000  0.000  0.347 x1
Te  0.500  0.500  0.838 x1

Properties
The value obtained for the polymorph energy (0 for the lowest one) is 0.104 eV/atom. As for the spin magnetization: 1.76 μB per formula unit. The crystal system is tetragonal. The calculation puts the density of states at the Fermi level at 0.957 states/eV per atom.


DFT (PBE) results for a relaxed SrCaH4 crystal.

Lattice parameters (Å, degrees): 6.089 3.714 13.986 90.00 90.00 90.00
Space group Pnma (No. 62)
Unique sites:
Sr  0.238  0.250  0.069 x4
Ca  0.234  0.750  0.310 x4
H  0.016  0.250  0.924 x4
H  0.030  0.250  0.228 x4
H  0.127  0.250  0.661 x4
H  0.158  0.250  0.431 x4

Properties
The value obtained for the polymorph energy (0 for the lowest one) is 0.000 eV/atom. As for the spin magnetization: 0.00 μB per formula unit. The crystal system is orthorhombic. The calculation puts the density of states at the Fermi level at 0.000 states/eV per atom.


DFT (PBE) results for a relaxed Na2TbPrSe4 crystal.

Lattice parameters (Å, degrees): 7.348 4.242 7.430 90.00 109.24 90.00
Space group P2/m (No. 10)
Unique sites:
Na  0.000  0.000  0.000 x1
Na  0.500  0.500  0.000 x1
Tb  0.000  0.500  0.500 x1
Pr  0.500  0.000  0.500 x1
Se  0.236  0.000  0.732 x2
Se  0.247  0.500  0.264 x2

Properties
The value obtained for the final energy is -4.937 eV/atom. As for the spin magnetization: 0.00 μB per formula unit. The crystal system is monoclinic. The calculation puts the density of states at the Fermi level at 0.000 states/eV per atom.


DFT (PBE) results for a relaxed NaNbIn2F8 crystal.

Lattice parameters (Å, degrees): 5.058 6.567 7.547 89.94 89.96 80.79
Space group P-1 (No. 2)
Unique sites:
Na  0.000  0.000  0.000 x1
Nb  0.000  0.000  0.500 x1
In  0.499  0.500  0.763 x2
F  0.100  0.177  0.312 x2
F  0.100  0.177  0.689 x2
F  0.331  0.720  0.000 x2
F  0.354  0.840  0.500 x2

Properties
The value obtained for the final energy is -5.195 eV/atom. As for the spin magnetization: 0.00 μB per formula unit. The crystal system is triclinic.